First-principles (PBE) data for an optimized crystal structure of TmFeB, as listed in the Alexandria database.

energy of formation: -6.091 kcal/mol of atoms
energy: -20.4 eV/f.u.

Geometry as CIF:
```
data_TmFeB
_cell_length_a 3.5103
_cell_length_b 3.5103
_cell_length_c 3.9503
_cell_angle_alpha 90.00
_cell_angle_beta 90.00
_cell_angle_gamma 120.00
_space_group_name_H-M_alt 'P -6 m 2'
_space_group_IT_number 187
_space_group_name_Hall 'P -6 2'
loop_
_atom_site_label
_atom_site_type_symbol
_atom_site_fract_x
_atom_site_fract_y
_atom_site_fract_z
_atom_site_occupancy
Tm1 Tm 0.0000 0.0000 0.0000 1
Fe1 Fe 0.6667 0.3333 0.5000 1
B1 B 0.3333 0.6667 0.5000 1
```

First-principles (PBE) data for an optimized crystal structure of Na2CdH4S2O10, as listed in the Alexandria database.

energy: -102.2 eV/f.u.

Geometry as CIF:
```
data_Na2CdH4S2O10
_cell_length_a 5.954
_cell_length_b 13.195
_cell_length_c 5.687
_cell_angle_alpha 90.00
_cell_angle_beta 106.46
_cell_angle_gamma 90.00
_space_group_name_H-M_alt 'P 1 21/c 1'
_space_group_IT_number 14
_space_group_name_Hall '-P 2ybc'
loop_
_atom_site_label
_atom_site_type_symbol
_atom_site_fract_x
_atom_site_fract_y
_atom_site_fract_z
_atom_site_occupancy
Na1 Na 0.093 0.116 0.276 1
Cd1 Cd 0.500 0.000 0.000 1
H1 H 0.174 0.162 0.830 1
H2 H 0.407 0.211 0.008 1
S1 S 0.259 0.618 0.919 1
O1 O 0.064 0.692 0.896 1
O2 O 0.215 0.560 0.682 1
O3 O 0.251 0.544 0.118 1
O4 O 0.304 0.150 0.984 1
O5 O 0.489 0.669 0.977 1
```

First-principles (PBE) data for an optimized crystal structure of CsVSi2, as listed in the Alexandria database.

energy: -18.8 eV/f.u.
uncorrected formation energy: 493 meV/atom

Geometry as CIF:
```
data_CsVSi2
_cell_length_a 6.014
_cell_length_b 6.014
_cell_length_c 14.727
_cell_angle_alpha 90.00
_cell_angle_beta 90.00
_cell_angle_gamma 90.00
_space_group_name_H-M_alt 'I 41/a m d'
_space_group_IT_number 141
loop_
_space_group_symop_operation_xyz
'x,y,z'
'-x,-y,-z'
'-y+1/4,x+3/4,z+1/4'
'y+1/4,-x+3/4,-z+1/4'
'-x+1/2,-y,z+1/2'
'x+1/2,y,-z+1/2'
'y+1/4,-x+1/4,z+3/4'
'-y+1/4,x+1/4,-z+3/4'
'x,-y,-z'
'-x,y,z'
'-y+1/4,-x+1/4,-z+3/4'
'y+1/4,x+1/4,z+3/4'
'-x+1/2,y,-z+1/2'
'x+1/2,-y,z+1/2'
'y+1/4,x+3/4,-z+1/4'
'-y+1/4,-x+3/4,z+1/4'
'x+1/2,y+1/2,z+1/2'
'-x+1/2,-y+1/2,-z+1/2'
'-y+3/4,x+1/4,z+3/4'
'y+3/4,-x+1/4,-z+3/4'
'-x,-y+1/2,z'
'x,y+1/2,-z'
'y+3/4,-x+3/4,z+1/4'
'-y+3/4,x+3/4,-z+1/4'
'x+1/2,-y+1/2,-z+1/2'
'-x+1/2,y+1/2,z+1/2'
'-y+3/4,-x+3/4,-z+1/4'
'y+3/4,x+3/4,z+1/4'
'-x,y+1/2,-z'
'x,-y+1/2,z'
'y+3/4,x+1/4,-z+3/4'
'-y+3/4,-x+1/4,z+3/4'
loop_
_atom_site_label
_atom_site_type_symbol
_atom_site_fract_x
_atom_site_fract_y
_atom_site_fract_z
_atom_site_occupancy
Cs1 Cs 0.000 0.250 0.375 1
V1 V 0.000 0.250 0.875 1
Si1 Si 0.000 0.000 0.000 1
```

First-principles (PBE) data for an optimized crystal structure of CsTi3Ge, as listed in the Alexandria database.

energy of formation: 46.958 kcal/mol of atoms
energy: -19.0 eV/f.u.

Geometry as CIF:
```
data_CsTi3Ge
_cell_length_a 4.940
_cell_length_b 4.940
_cell_length_c 4.940
_cell_angle_alpha 90.00
_cell_angle_beta 90.00
_cell_angle_gamma 90.00
_space_group_name_H-M_alt 'P m -3 m'
_space_group_IT_number 221
_space_group_name_Hall '-P 4 2 3'
loop_
_atom_site_label
_atom_site_type_symbol
_atom_site_fract_x
_atom_site_fract_y
_atom_site_fract_z
_atom_site_occupancy
Cs1 Cs 0.000 0.000 0.000 1
Ti1 Ti 0.000 0.000 0.500 1
Ge1 Ge 0.500 0.500 0.500 1
```

First-principles (PBE) data for an optimized crystal structure of YCuSe2, as listed in the Alexandria database.

energy: -21.7 eV/f.u.
uncorrected formation energy: -1035 meV/atom

Geometry as CIF:
```
data_YCuSe2
_cell_length_a 5.887
_cell_length_b 5.887
_cell_length_c 12.548
_cell_angle_alpha 90.00
_cell_angle_beta 90.00
_cell_angle_gamma 90.00
_space_group_name_H-M_alt 'I -4 2 d'
_space_group_IT_number 122
_space_group_name_Hall 'I -4 2bw'
loop_
_atom_site_label
_atom_site_type_symbol
_atom_site_fract_x
_atom_site_fract_y
_atom_site_fract_z
_atom_site_occupancy
Y1 Y 0.000 0.000 0.000 1
Cu1 Cu 0.000 0.000 0.500 1
Se1 Se 0.211 0.250 0.625 1
```

First-principles (PBE) data for an optimized crystal structure of Sr2B2O5, as listed in the Alexandria database.

energy: -63.9 eV/f.u.
uncorrected formation energy: -2491 meV/atom

Geometry as CIF:
```
data_Sr2B2O5
_cell_length_a 7.812
_cell_length_b 4.976
_cell_length_c 8.310
_cell_angle_alpha 90.00
_cell_angle_beta 100.04
_cell_angle_gamma 90.00
_space_group_name_H-M_alt 'C 1 2/m 1'
_space_group_IT_number 12
_space_group_name_Hall '-C 2y'
loop_
_atom_site_label
_atom_site_type_symbol
_atom_site_fract_x
_atom_site_fract_y
_atom_site_fract_z
_atom_site_occupancy
Sr1 Sr 0.050 0.000 0.222 1
B1 B 0.147 0.500 0.923 1
O1 O 0.000 0.500 0.000 1
O2 O 0.116 0.500 0.752 1
O3 O 0.189 0.000 0.987 1
```

First-principles (PBE) data for an optimized crystal structure of Ba2AsPdCl, as listed in the Alexandria database.

energy: -19.2 eV/f.u.
uncorrected formation energy: -741 meV/atom

Geometry as CIF:
```
data_Ba2AsPdCl
_cell_length_a 6.102
_cell_length_b 6.102
_cell_length_c 4.577
_cell_angle_alpha 90.00
_cell_angle_beta 90.00
_cell_angle_gamma 90.00
_space_group_name_H-M_alt 'P 4/m m m'
_space_group_IT_number 123
_space_group_name_Hall '-P 4 2'
loop_
_atom_site_label
_atom_site_type_symbol
_atom_site_fract_x
_atom_site_fract_y
_atom_site_fract_z
_atom_site_occupancy
Ba1 Ba 0.000 0.500 0.000 1
As1 As 0.000 0.000 0.500 1
Pd1 Pd 0.500 0.500 0.000 1
Cl1 Cl 0.500 0.500 0.500 1
```

First-principles (PBE) data for an optimized crystal structure of TaOsSe2, as listed in the Alexandria database.

energy: -30.7 eV/f.u.
uncorrected formation energy: -159 meV/atom

Geometry as CIF:
```
data_TaOsSe2
_cell_length_a 3.661
_cell_length_b 3.940
_cell_length_c 13.531
_cell_angle_alpha 90.00
_cell_angle_beta 90.00
_cell_angle_gamma 90.00
_space_group_name_H-M_alt 'I m m m'
_space_group_IT_number 71
_space_group_name_Hall '-I 2 2'
loop_
_atom_site_label
_atom_site_type_symbol
_atom_site_fract_x
_atom_site_fract_y
_atom_site_fract_z
_atom_site_occupancy
Ta1 Ta 0.000 0.000 0.000 1
Os1 Os 0.000 0.000 0.500 1
Se1 Se 0.000 0.500 0.135 1
```

First-principles (PBE) data for an optimized crystal structure of RbLa2Be2O6, as listed in the Alexandria database.

energy: -76.4 eV/f.u.
uncorrected formation energy: -2581 meV/atom

Geometry as CIF:
```
data_RbLa2Be2O6
_cell_length_a 5.951
_cell_length_b 6.264
_cell_length_c 6.471
_cell_angle_alpha 96.55
_cell_angle_beta 114.63
_cell_angle_gamma 112.20
_space_group_name_H-M_alt 'P -1'
_space_group_IT_number 2
_space_group_name_Hall '-P 1'
loop_
_atom_site_label
_atom_site_type_symbol
_atom_site_fract_x
_atom_site_fract_y
_atom_site_fract_z
_atom_site_occupancy
Rb1 Rb 0.000 0.000 0.000 1
La1 La 0.366 0.295 0.670 1
Be1 Be 0.286 0.735 0.708 1
O1 O 0.119 0.875 0.637 1
O2 O 0.317 0.608 0.904 1
O3 O 0.457 0.700 0.592 1
```

First-principles (PBE) data for an optimized crystal structure of Cr2TcMo, as listed in the Alexandria database.

energy of formation: 2.364 kcal/mol of atoms
energy: -40.0 eV/f.u.

Geometry as CIF:
```
data_Cr2TcMo
_cell_length_a 2.629
_cell_length_b 4.181
_cell_length_c 5.022
_cell_angle_alpha 90.00
_cell_angle_beta 99.95
_cell_angle_gamma 90.00
_space_group_name_H-M_alt 'P 1 2/m 1'
_space_group_IT_number 10
_space_group_name_Hall '-P 2y'
loop_
_atom_site_label
_atom_site_type_symbol
_atom_site_fract_x
_atom_site_fract_y
_atom_site_fract_z
_atom_site_occupancy
Cr1 Cr 0.237 0.000 0.246 1
Tc1 Tc 0.500 0.500 0.000 1
Mo1 Mo 0.000 0.500 0.500 1
```

First-principles (PBE) data for an optimized crystal structure of Li6SiPb2, as listed in the Alexandria database.

energy: -26.4 eV/f.u.
uncorrected formation energy: -232 meV/atom

Geometry as CIF:
```
data_Li6SiPb2
_cell_length_a 8.0096
_cell_length_b 8.0096
_cell_length_c 3.0691
_cell_angle_alpha 90.00
_cell_angle_beta 90.00
_cell_angle_gamma 120.00
_space_group_name_H-M_alt 'P -6 2 m'
_space_group_IT_number 189
_space_group_name_Hall 'P -6 -2'
loop_
_atom_site_label
_atom_site_type_symbol
_atom_site_fract_x
_atom_site_fract_y
_atom_site_fract_z
_atom_site_occupancy
Li1 Li 0.0000 0.2752 0.0000 1
Li2 Li 0.0000 0.6529 0.5000 1
Si1 Si 0.0000 0.0000 0.5000 1
Pb1 Pb 0.3333 0.6667 0.0000 1
```

First-principles (PBE) data for an optimized crystal structure of Sc2Al3Au2, as listed in the Alexandria database.

energy of formation: -11.925 kcal/mol of atoms
energy: -34.1 eV/f.u.

Geometry as CIF:
```
data_Sc2Al3Au2
_cell_length_a 3.698
_cell_length_b 19.475
_cell_length_c 7.392
_cell_angle_alpha 90.00
_cell_angle_beta 90.00
_cell_angle_gamma 90.00
_space_group_name_H-M_alt 'C m c m'
_space_group_IT_number 63
_space_group_name_Hall '-C 2c 2'
loop_
_atom_site_label
_atom_site_type_symbol
_atom_site_fract_x
_atom_site_fract_y
_atom_site_fract_z
_atom_site_occupancy
Sc1 Sc 0.000 0.055 0.250 1
Sc2 Sc 0.000 0.152 0.750 1
Al1 Al 0.000 0.232 0.250 1
Al2 Al 0.000 0.444 0.077 1
Au1 Au 0.000 0.321 0.548 1
```